TiAg2SbMo | GGA-PBE | relaxed

Output
The value obtained for the formation energy from raw total energies is 1056 meV/atom. As for the density of states at the Fermi level: 2.912 states/eV/cell.

a b c (Å): 5.163 5.163 4.523
angles (deg): 90.00 90.00 90.00
Space group P4/mmm (No. 123)
Symmetry-distinct sites (fractional):
Ti (0.000, 0.000, 0.000)
Ag (0.000, 0.500, 0.500)
Sb (0.500, 0.500, 0.000)
Mo (0.000, 0.000, 0.500)

Sc2AgMo | GGA-PBE | relaxed

Output
As for the density of states at the Fermi level: 17.305 states/eV/cell. The calculation puts the polymorph energy (0 for the lowest one) at 387 meV per atom. As for the formation energy: 7.68 kcal/mol of atoms.

a b c (Å): 3.0196 3.0196 29.9201
angles (deg): 90.00 90.00 120.00
Space group R3m (No. 160, hexagonal axes)
Symmetry-distinct sites (fractional):
Sc (0.0000, 0.0000, 0.0000)
Sc (0.0000, 0.0000, 0.2400)
Ag (0.0000, 0.0000, 0.4909)
Mo (0.0000, 0.0000, 0.7447)

Sc3AgMo | GGA-PBE | relaxed

Output
As for the density of states at the Fermi level: 5.297 states/eV/cell. The calculation puts the polymorph energy (0 for the lowest one) at 0 meV per atom. As for the formation energy: 10.99 kcal/mol of atoms.

a b c (Å): 5.015 5.015 5.015
angles (deg): 90.00 90.00 90.00
Space group Pm-3m (No. 221)
Symmetry-distinct sites (fractional):
Sc (0.000, 0.000, 0.500)
Ag (0.500, 0.500, 0.500)
Mo (0.000, 0.000, 0.000)

Sc2AgMo | GGA-PBE | relaxed

Output
As for the density of states at the Fermi level: 16.560 states/eV/cell. The calculation puts the polymorph energy (0 for the lowest one) at 108 meV per atom. As for the formation energy: 1.26 kcal/mol of atoms.

a b c (Å): 6.712 6.712 6.712
angles (deg): 90.00 90.00 90.00
Space group Fm-3m (No. 225)
Symmetry-distinct sites (fractional):
Sc (0.250, 0.250, 0.250)
Ag (0.000, 0.000, 0.000)
Mo (0.000, 0.000, 0.500)

ScAgMo2 | GGA-PBE | relaxed

Output
As for the density of states at the Fermi level: 3.416 states/eV/cell. The calculation puts the polymorph energy (0 for the lowest one) at 77 meV per atom. As for the formation energy: 4.22 kcal/mol of atoms.

a b c (Å): 2.841 4.335 5.866
angles (deg): 90.00 102.04 90.00
Space group Pm (No. 6)
Symmetry-distinct sites (fractional):
Sc (0.000, 0.000, 0.000)
Ag (0.591, 0.500, 0.251)
Mo (0.185, 0.000, 0.537)
Mo (0.536, 0.500, 0.734)

Sc2AgMo | GGA-PBE | relaxed

Output
As for the density of states at the Fermi level: 7.883 states/eV/cell. The calculation puts the polymorph energy (0 for the lowest one) at 245 meV per atom. As for the formation energy: 4.41 kcal/mol of atoms.

a b c (Å): 9.509 3.115 5.447
angles (deg): 90.00 106.13 90.00
Space group C2/m (No. 12)
Symmetry-distinct sites (fractional):
Sc (0.243, 0.000, 0.238)
Ag (0.000, 0.000, 0.500)
Mo (0.000, 0.500, 0.000)

ScAgMo4 | GGA-PBE | relaxed

Output
As for the density of states at the Fermi level: 28.948 states/eV/cell. As for the formation energy: 7.05 kcal/mol of atoms.

a b c (Å): 7.524 7.524 7.524
angles (deg): 90.00 90.00 90.00
Space group F-43m (No. 216)
Symmetry-distinct sites (fractional):
Sc (0.000, 0.000, 0.000)
Ag (0.250, 0.250, 0.750)
Mo (0.125, 0.125, 0.375)

ScAgMo2 | GGA-PBE | relaxed

Output
As for the density of states at the Fermi level: 31.486 states/eV/cell. The calculation puts the polymorph energy (0 for the lowest one) at 593 meV per atom. As for the formation energy: 16.13 kcal/mol of atoms.

a b c (Å): 6.520 6.520 6.520
angles (deg): 90.00 90.00 90.00
Space group Fm-3m (No. 225)
Symmetry-distinct sites (fractional):
Sc (0.000, 0.000, 0.000)
Ag (0.000, 0.000, 0.500)
Mo (0.250, 0.250, 0.250)

ScAgMo2 | GGA-PBE | relaxed

Output
As for the density of states at the Fermi level: 4.094 states/eV/cell. The calculation puts the polymorph energy (0 for the lowest one) at 211 meV per atom. As for the formation energy: 7.33 kcal/mol of atoms.

a b c (Å): 2.801 4.120 6.110
angles (deg): 90.00 90.00 90.00
Space group Pmm2 (No. 25)
Symmetry-distinct sites (fractional):
Sc (0.000, 0.000, 0.000)
Ag (0.500, 0.500, 0.244)
Mo (0.000, 0.000, 0.515)
Mo (0.500, 0.500, 0.725)

Sc2AgMo | GGA-PBE | relaxed

Output
As for the density of states at the Fermi level: 18.279 states/eV/cell. The calculation puts the polymorph energy (0 for the lowest one) at 655 meV per atom. As for the formation energy: 13.87 kcal/mol of atoms.

a b c (Å): 4.181 4.181 18.726
angles (deg): 90.00 90.00 90.00
Space group I-42d (No. 122)
Symmetry-distinct sites (fractional):
Sc (0.239, 0.250, 0.125)
Ag (0.000, 0.000, 0.500)
Mo (0.000, 0.000, 0.000)

Sc2AgMo | GGA-PBE | relaxed

Output
As for the density of states at the Fermi level: 15.971 states/eV/cell. The calculation puts the polymorph energy (0 for the lowest one) at 204 meV per atom. As for the formation energy: 3.46 kcal/mol of atoms.

a b c (Å): 3.0905 3.0905 28.3898
angles (deg): 90.00 90.00 120.00
Space group R-3m (No. 166, hexagonal axes)
Symmetry-distinct sites (fractional):
Sc (0.0000, 0.0000, 0.2459)
Ag (0.0000, 0.0000, 0.0000)
Mo (0.0000, 0.0000, 0.5000)

ScAgMo2 | GGA-PBE | relaxed

Output
As for the density of states at the Fermi level: 10.146 states/eV/cell. The calculation puts the polymorph energy (0 for the lowest one) at 191 meV per atom. As for the formation energy: 6.86 kcal/mol of atoms.

a b c (Å): 5.492 9.658 2.739
angles (deg): 90.00 107.91 90.00
Space group C2/m (No. 12)
Symmetry-distinct sites (fractional):
Sc (0.000, 0.000, 0.000)
Ag (0.000, 0.500, 0.000)
Mo (0.250, 0.250, 0.500)

Sc2AgMo | GGA-PBE | relaxed

Output
As for the density of states at the Fermi level: 4.079 states/eV/cell. The calculation puts the polymorph energy (0 for the lowest one) at 83 meV per atom. As for the formation energy: 0.67 kcal/mol of atoms.

a b c (Å): 4.943 4.943 3.128
angles (deg): 90.00 90.00 90.00
Space group P4/mmm (No. 123)
Symmetry-distinct sites (fractional):
Sc (0.000, 0.500, 0.000)
Ag (0.000, 0.000, 0.500)
Mo (0.500, 0.500, 0.500)

ScAgMo2 | GGA-PBE | relaxed

Output
As for the density of states at the Fermi level: 7.945 states/eV/cell. The calculation puts the polymorph energy (0 for the lowest one) at 198 meV per atom. As for the formation energy: 7.03 kcal/mol of atoms.

a b c (Å): 9.434 2.756 5.398
angles (deg): 90.00 93.98 90.00
Space group Cm (No. 8)
Symmetry-distinct sites (fractional):
Sc (0.000, 0.000, 0.000)
Ag (0.254, 0.000, 0.771)
Mo (0.016, 0.500, 0.483)
Mo (0.258, 0.500, 0.283)

ScAgMo2 | GGA-PBE | relaxed

Output
As for the density of states at the Fermi level: 3.014 states/eV/cell. The calculation puts the polymorph energy (0 for the lowest one) at 119 meV per atom. As for the formation energy: 5.19 kcal/mol of atoms.

a b c (Å): 3.858 3.858 4.661
angles (deg): 90.00 90.00 90.00
Space group P4/mmm (No. 123)
Symmetry-distinct sites (fractional):
Sc (0.000, 0.000, 0.000)
Ag (0.500, 0.500, 0.000)
Mo (0.000, 0.500, 0.500)

Sc2AgMo | GGA-PBE | relaxed

Output
As for the density of states at the Fermi level: 7.364 states/eV/cell. The calculation puts the polymorph energy (0 for the lowest one) at 259 meV per atom. As for the formation energy: 4.74 kcal/mol of atoms.

a b c (Å): 4.084 4.130 9.252
angles (deg): 90.00 90.00 90.00
Space group Cmm2 (No. 35)
Symmetry-distinct sites (fractional):
Sc (0.000, 0.000, 0.000)
Sc (0.000, 0.500, 0.298)
Ag (0.000, 0.000, 0.536)
Mo (0.000, 0.500, 0.768)

ScAgMo2 | GGA-PBE | relaxed

Output
As for the density of states at the Fermi level: 4.895 states/eV/cell. The calculation puts the polymorph energy (0 for the lowest one) at 0 meV per atom. As for the formation energy: 2.46 kcal/mol of atoms.

a b c (Å): 3.260 3.260 6.673
angles (deg): 90.00 90.00 90.00
Space group P4mm (No. 99)
Symmetry-distinct sites (fractional):
Sc (0.000, 0.000, 0.000)
Ag (0.500, 0.500, 0.267)
Mo (0.000, 0.000, 0.542)
Mo (0.500, 0.500, 0.738)

Sc2AgMo | GGA-PBE | relaxed

Output
As for the density of states at the Fermi level: 3.245 states/eV/cell. The calculation puts the polymorph energy (0 for the lowest one) at 222 meV per atom. As for the formation energy: 3.88 kcal/mol of atoms.

a b c (Å): 3.008 4.460 5.823
angles (deg): 90.00 90.00 90.00
Space group Pmm2 (No. 25)
Symmetry-distinct sites (fractional):
Sc (0.000, 0.000, 0.000)
Sc (0.500, 0.500, 0.314)
Ag (0.000, 0.000, 0.521)
Mo (0.500, 0.500, 0.823)

ScAgMo2 | GGA-PBE | relaxed

Output
As for the density of states at the Fermi level: 3.740 states/eV/cell. The calculation puts the polymorph energy (0 for the lowest one) at 211 meV per atom. As for the formation energy: 7.32 kcal/mol of atoms.

a b c (Å): 2.739 2.739 9.237
angles (deg): 90.00 90.00 90.00
Space group P4/mmm (No. 123)
Symmetry-distinct sites (fractional):
Sc (0.000, 0.000, 0.000)
Ag (0.000, 0.000, 0.500)
Mo (0.500, 0.500, 0.255)

ScAgMo2 | GGA-PBE | relaxed

Output
As for the density of states at the Fermi level: 9.924 states/eV/cell. The calculation puts the polymorph energy (0 for the lowest one) at 204 meV per atom. As for the formation energy: 7.17 kcal/mol of atoms.

a b c (Å): 3.876 3.876 9.359
angles (deg): 90.00 90.00 90.00
Space group I4/mmm (No. 139)
Symmetry-distinct sites (fractional):
Sc (0.000, 0.000, 0.000)
Ag (0.000, 0.000, 0.500)
Mo (0.000, 0.500, 0.250)

ScAgMo2 | GGA-PBE | relaxed

Output
As for the density of states at the Fermi level: 3.193 states/eV/cell. The calculation puts the polymorph energy (0 for the lowest one) at 164 meV per atom. As for the formation energy: 6.24 kcal/mol of atoms.

a b c (Å): 2.777 4.905 5.228
angles (deg): 90.00 99.42 90.00
Space group P2/m (No. 10)
Symmetry-distinct sites (fractional):
Sc (0.000, 0.000, 0.000)
Ag (0.500, 0.000, 0.500)
Mo (0.310, 0.500, 0.766)

ScAgMo2 | GGA-PBE | relaxed

Output
As for the density of states at the Fermi level: 2.048 states/eV/cell. The calculation puts the polymorph energy (0 for the lowest one) at 236 meV per atom. As for the formation energy: 7.90 kcal/mol of atoms.

a b c (Å): 2.733 4.732 5.486
angles (deg): 90.00 90.00 90.00
Space group Pmmm (No. 47)
Symmetry-distinct sites (fractional):
Sc (0.000, 0.000, 0.000)
Ag (0.000, 0.000, 0.500)
Mo (0.500, 0.500, 0.231)

ScAg4Mo | GGA-PBE | relaxed

Output
As for the density of states at the Fermi level: 24.410 states/eV/cell. As for the formation energy: 8.80 kcal/mol of atoms.

a b c (Å): 7.716 7.716 7.716
angles (deg): 90.00 90.00 90.00
Space group F-43m (No. 216)
Symmetry-distinct sites (fractional):
Sc (0.000, 0.000, 0.000)
Ag (0.125, 0.125, 0.625)
Mo (0.250, 0.250, 0.250)

Sc2AgMo | GGA-PBE | relaxed

Output
As for the density of states at the Fermi level: 19.604 states/eV/cell. The calculation puts the polymorph energy (0 for the lowest one) at 475 meV per atom. As for the formation energy: 9.70 kcal/mol of atoms.

a b c (Å): 2.9728 2.9728 30.9471
angles (deg): 90.00 90.00 120.00
Space group R-3m (No. 166, hexagonal axes)
Symmetry-distinct sites (fractional):
Sc (0.0000, 0.0000, 0.0853)
Ag (0.0000, 0.0000, 0.5000)
Mo (0.0000, 0.0000, 0.0000)

ScAgMo2 | GGA-PBE | relaxed

Output
As for the density of states at the Fermi level: 6.368 states/eV/cell. The calculation puts the polymorph energy (0 for the lowest one) at 58 meV per atom. As for the formation energy: 3.79 kcal/mol of atoms.

a b c (Å): 3.262 4.686 9.212
angles (deg): 90.00 90.00 90.00
Space group Cmm2 (No. 35)
Symmetry-distinct sites (fractional):
Sc (0.000, 0.000, 0.000)
Ag (0.000, 0.500, 0.266)
Mo (0.000, 0.000, 0.526)
Mo (0.000, 0.500, 0.747)

Sc2AgMo | GGA-PBE | relaxed

Output
As for the density of states at the Fermi level: 21.105 states/eV/cell. The calculation puts the polymorph energy (0 for the lowest one) at 381 meV per atom. As for the formation energy: 7.55 kcal/mol of atoms.

a b c (Å): 6.740 6.740 6.740
angles (deg): 90.00 90.00 90.00
Space group F-43m (No. 216)
Symmetry-distinct sites (fractional):
Sc (0.000, 0.000, 0.000)
Sc (0.250, 0.250, 0.250)
Ag (0.000, 0.000, 0.500)
Mo (0.250, 0.250, 0.750)

ScAgMo2 | GGA-PBE | relaxed

Output
As for the density of states at the Fermi level: 6.628 states/eV/cell. The calculation puts the polymorph energy (0 for the lowest one) at 209 meV per atom. As for the formation energy: 7.27 kcal/mol of atoms.

a b c (Å): 3.640 4.100 9.287
angles (deg): 90.00 90.00 90.00
Space group Cmmm (No. 65)
Symmetry-distinct sites (fractional):
Sc (0.000, 0.000, 0.000)
Ag (0.000, 0.000, 0.500)
Mo (0.000, 0.500, 0.254)

ScAgMo2 | GGA-PBE | relaxed

Output
As for the density of states at the Fermi level: 14.781 states/eV/cell. The calculation puts the polymorph energy (0 for the lowest one) at 391 meV per atom. As for the formation energy: 11.49 kcal/mol of atoms.

a b c (Å): 2.8753 2.8753 29.5088
angles (deg): 90.00 90.00 120.00
Space group R-3m (No. 166, hexagonal axes)
Symmetry-distinct sites (fractional):
Sc (0.0000, 0.0000, 0.0000)
Ag (0.0000, 0.0000, 0.5000)
Mo (0.0000, 0.0000, 0.2494)

ScAgMo3 | GGA-PBE | relaxed

Output
As for the density of states at the Fermi level: 11.625 states/eV/cell. The calculation puts the polymorph energy (0 for the lowest one) at 128 meV per atom. As for the formation energy: 47.99 kcal/mol of atoms.

a b c (Å): 4.825 4.825 4.825
angles (deg): 90.00 90.00 90.00
Space group Pm-3m (No. 221)
Symmetry-distinct sites (fractional):
Sc (0.000, 0.000, 0.000)
Ag (0.500, 0.500, 0.500)
Mo (0.000, 0.500, 0.500)

Sc3AgMo | GGA-PBE | relaxed

Output
As for the density of states at the Fermi level: 6.122 states/eV/cell. The calculation puts the polymorph energy (0 for the lowest one) at 481 meV per atom. As for the formation energy: 22.08 kcal/mol of atoms.

a b c (Å): 5.079 5.079 5.079
angles (deg): 90.00 90.00 90.00
Space group Pm-3m (No. 221)
Symmetry-distinct sites (fractional):
Sc (0.000, 0.000, 0.500)
Ag (0.000, 0.000, 0.000)
Mo (0.500, 0.500, 0.500)